# 1
VASP calculation (PBE) on a relaxed structure of Ho4Al3Pd.

Its symmetry is P4/mmm, No. 123. For the energy, the calculation gives -4.8690 eV/atom. The calculation puts the formation energy at -0.5276 eV/atom. The density comes out at 7.77 g/cm³. For the polymorph energy (0 for the lowest one), the calculation gives 0.000 eV/atom.

Lattice parameters (Å, degrees): 3.5502 3.5502 14.3583 90.00 90.00 90.00
Closest atoms and distances in Å follow each position.
Fractional positions:
Ho  0.0000  0.0000  0.1176  4 Pd 3.03, 4 Al 3.12, 1 Ho 3.38
Ho  0.0000  0.0000  0.3725  8 Al 3.09-3.11
Ho  0.0000  0.0000  0.6275  8 Al 3.09-3.11
Ho  0.0000  0.0000  0.8824  4 Pd 3.03, 4 Al 3.12, 1 Ho 3.38
Al  0.5000  0.5000  0.2464  8 Ho 3.09-3.12
Al  0.5000  0.5000  0.5000  8 Ho 3.11
Al  0.5000  0.5000  0.7536  8 Ho 3.09-3.12
Pd  0.5000  0.5000  0.0000  8 Ho 3.03

***

# 2
VASP calculation (PBE) on a relaxed structure of HoAl3Pd2.

Its symmetry is C2/m, No. 12. For the energy, the calculation gives -5.1532 eV/atom. The calculation puts the formation energy at -0.7880 eV/atom. The density comes out at 6.98 g/cm³.

Lattice parameters (Å, degrees): 8.5732 8.5732 9.9916 108.07 108.07 28.08
Closest atoms and distances in Å follow each position.
Fractional positions:
Ho  0.0000  0.0000  0.0000  6 Pd 3.14-3.16, 6 Al 3.17-3.37
Ho  0.1579  0.1579  0.7048  10 Al 3.19-3.55, 6 Pd 3.19-3.27
Ho  0.8421  0.8421  0.2952  10 Al 3.19-3.55, 6 Pd 3.19-3.27
Al  0.0421  0.0421  0.3534  4 Pd 2.54-2.62, 3 Al 2.76
Al  0.2139  0.2139  0.3909  4 Pd 2.45-2.61
Al  0.3253  0.3253  0.0352  4 Pd 2.56-2.59, 1 Al 2.70
Al  0.3729  0.3729  0.8008  4 Pd 2.49-2.63, 1 Al 2.70
Al  0.5000  0.5000  0.5000  4 Pd 2.49-2.69, 4 Al 2.76
Al  0.6271  0.6271  0.1992  4 Pd 2.49-2.63, 1 Al 2.70
Al  0.6747  0.6747  0.9648  4 Pd 2.56-2.59, 1 Al 2.70
Al  0.7861  0.7861  0.6091  4 Pd 2.45-2.61
Al  0.9579  0.9579  0.6466  4 Pd 2.54-2.62, 3 Al 2.76
Pd  0.1986  0.1986  0.1282  6 Al 2.56-2.60
Pd  0.3617  0.3617  0.5460  7 Al 2.45-2.62
Pd  0.4735  0.4735  0.2197  5 Al 2.54-2.69
Pd  0.5265  0.5265  0.7803  5 Al 2.54-2.69
Pd  0.6383  0.6383  0.4540  7 Al 2.45-2.62
Pd  0.8014  0.8014  0.8718  6 Al 2.56-2.60

***

# 3
VASP calculation (PBE) on a relaxed structure of Ho5AlPd2.

Its symmetry is I4/mcm, No. 140. For the energy, the calculation gives -5.1894 eV/atom. The calculation puts the formation energy at -0.5623 eV/atom. The density comes out at 8.83 g/cm³.

Lattice parameters (Å, degrees): 8.6390 8.6390 8.6390 126.76 126.76 78.64
Closest atoms and distances in Å follow each position.
Fractional positions:
Ho  0.0000  0.0000  0.0000  4 Pd 3.02, 2 Al 3.34
Ho  0.0169  0.5169  0.8208  3 Pd 2.96-2.98, 2 Al 3.24
Ho  0.1961  0.0169  0.5000  3 Pd 2.96-2.98, 2 Al 3.24
Ho  0.3039  0.8039  0.8208  3 Pd 2.96-2.98, 2 Al 3.24
Ho  0.4831  0.3039  0.5000  3 Pd 2.96-2.98, 2 Al 3.24
Ho  0.5000  0.5000  0.0000  4 Pd 3.02, 2 Al 3.34
Ho  0.5169  0.6961  0.5000  3 Pd 2.96-2.98, 2 Al 3.24
Ho  0.6961  0.1961  0.1792  3 Pd 2.96-2.98, 2 Al 3.24
Ho  0.8039  0.9831  0.5000  3 Pd 2.96-2.98, 2 Al 3.24
Ho  0.9831  0.4831  0.1792  3 Pd 2.96-2.98, 2 Al 3.24
Al  0.2500  0.2500  0.0000  10 Ho 3.24-3.34
Al  0.7500  0.7500  0.0000  10 Ho 3.24-3.34
Pd  0.1336  0.3664  0.5000  1 Pd 2.93, 8 Ho 2.96-3.02
Pd  0.3664  0.8664  0.2327  1 Pd 2.93, 8 Ho 2.96-3.02
Pd  0.6336  0.1336  0.7673  1 Pd 2.93, 8 Ho 2.96-3.02
Pd  0.8664  0.6336  0.5000  1 Pd 2.93, 8 Ho 2.96-3.02

***

# 4
VASP calculation (PBE) on a relaxed structure of HoAl2Pd.

Its symmetry is P4/mmm, No. 123. For the energy, the calculation gives -4.9379 eV/atom. The calculation puts the formation energy at -0.6240 eV/atom. The density comes out at 7.33 g/cm³.

Lattice parameters (Å, degrees): 3.1826 3.1826 7.2791 90.00 90.00 90.00
Closest atoms and distances in Å follow each position.
Fractional positions:
Ho  0.0000  0.0000  0.0000  8 Al 3.14, 4 Ho 3.18
Al  0.5000  0.5000  0.3016  4 Pd 2.67, 1 Al 2.89
Al  0.5000  0.5000  0.6984  4 Pd 2.67, 1 Al 2.89
Pd  0.0000  0.0000  0.5000  8 Al 2.67

***

# 5
VASP calculation (PBE) on a relaxed structure of HoAlPd4.

Its symmetry is C2/m, No. 12. For the energy, the calculation gives -5.4303 eV/atom. The calculation puts the formation energy at -0.5817 eV/atom. The density comes out at 8.91 g/cm³.

Lattice parameters (Å, degrees): 7.2394 4.1954 7.9466 90.00 107.56 90.00
Closest atoms and distances in Å follow each position.
Fractional positions:
Ho  0.0000  0.0000  0.0000  8 Pd 2.75-2.96
Ho  0.5000  0.5000  0.0000  8 Pd 2.75-2.96
Al  0.0000  0.5000  0.5000  8 Pd 2.47-2.56
Al  0.5000  0.0000  0.5000  8 Pd 2.47-2.56
Pd  0.1080  0.5000  0.8259  1 Al 2.47, 3 Ho 2.75-2.76
Pd  0.1300  0.0000  0.3902  3 Al 2.55-2.56
Pd  0.3700  0.5000  0.6098  3 Al 2.55-2.56
Pd  0.3920  0.0000  0.1741  1 Al 2.47, 3 Ho 2.75-2.76
Pd  0.6080  0.0000  0.8259  1 Al 2.47, 3 Ho 2.75-2.76
Pd  0.6300  0.5000  0.3902  3 Al 2.55-2.56
Pd  0.8700  0.0000  0.6098  3 Al 2.55-2.56
Pd  0.8920  0.5000  0.1741  1 Al 2.47, 3 Ho 2.75-2.76

***

# 6
VASP calculation (PBE) on a relaxed structure of HoAlPd5.

Its symmetry is P4/mmm, No. 123. For the energy, the calculation gives -5.6869 eV/atom. The calculation puts the formation energy at -0.7891 eV/atom. The density comes out at 10.05 g/cm³.

Lattice parameters (Å, degrees): 4.1284 4.1284 7.0209 90.00 90.00 90.00
Closest atoms and distances in Å follow each position.
Fractional positions:
Ho  0.0000  0.0000  0.0000  12 Pd 2.91-2.92
Al  0.5000  0.5000  0.5000  8 Pd 2.53
Pd  0.0000  0.5000  0.2927  2 Al 2.53
Pd  0.0000  0.5000  0.7073  2 Al 2.53
Pd  0.5000  0.0000  0.2927  2 Al 2.53
Pd  0.5000  0.0000  0.7073  2 Al 2.53
Pd  0.5000  0.5000  0.0000  8 Pd 2.91, 4 Ho 2.92

***

# 7
VASP calculation (PBE) on a relaxed structure of Ho3Al7Pd2.

Its symmetry is R-3m, No. 166. For the energy, the calculation gives -4.8836 eV/atom. The calculation puts the formation energy at -0.6905 eV/atom. The density comes out at 6.57 g/cm³.

Lattice parameters (Å, degrees): 9.2158 9.2158 9.2158 34.71 34.71 34.71
Closest atoms and distances in Å follow each position.
Fractional positions:
Ho  0.0000  0.0000  0.0000  6 Pd 3.17, 12 Al 3.44
Ho  0.1438  0.1438  0.1438  12 Al 3.21-3.24, 3 Ho 3.39
Ho  0.8562  0.8562  0.8562  12 Al 3.21-3.24, 3 Ho 3.39
Al  0.0732  0.5832  0.5833  2 Pd 2.58-2.64, 5 Al 2.69-2.80
Al  0.4168  0.4168  0.9268  2 Pd 2.58-2.64, 5 Al 2.69-2.80
Al  0.4168  0.9268  0.4168  2 Pd 2.58-2.64, 5 Al 2.69-2.80
Al  0.5000  0.5000  0.5000  6 Al 2.77
Al  0.5833  0.0732  0.5833  2 Pd 2.58-2.64, 5 Al 2.69-2.80
Al  0.5833  0.5833  0.0732  2 Pd 2.58-2.64, 5 Al 2.69-2.80
Al  0.9268  0.4168  0.4168  2 Pd 2.58-2.64, 5 Al 2.69-2.80
Pd  0.3357  0.3357  0.3357  6 Al 2.58-2.64
Pd  0.6643  0.6643  0.6643  6 Al 2.58-2.64

***

# 8
VASP calculation (PBE) on a relaxed structure of Ho4Al3Pd.

Its symmetry is Pmm2, No. 25. For the energy, the calculation gives -4.8527 eV/atom. The calculation puts the formation energy at -0.5112 eV/atom. The density comes out at 7.42 g/cm³. For the polymorph energy (0 for the lowest one), the calculation gives 0.016 eV/atom.

Lattice parameters (Å, degrees): 3.7320 4.4703 11.3699 90.00 90.00 90.00
Closest atoms and distances in Å follow each position.
Fractional positions:
Ho  0.0000  0.0000  0.0000  5 Al 3.01-3.35, 2 Pd 3.03
Ho  0.0000  0.5000  0.2833  4 Pd 3.03, 3 Al 3.08-3.24
Ho  0.5000  0.0000  0.4778  1 Pd 3.04, 6 Al 3.09-3.19
Ho  0.5000  0.5000  0.7953  7 Al 3.09-3.18
Al  0.0000  0.0000  0.7055  2 Al 2.72
Al  0.0000  0.5000  0.5685  2 Al 2.72
Al  0.5000  0.5000  0.0676  2 Pd 2.76, 6 Ho 3.01-3.08
Pd  0.5000  0.0000  0.2102  2 Al 2.76, 7 Ho 3.03-3.04

***

# 9
VASP calculation (PBE) on a relaxed structure of HoAl12Pd6.

Its symmetry is R-3m, No. 166. For the energy, the calculation gives -4.8420 eV/atom. The calculation puts the formation energy at -0.5975 eV/atom. The density comes out at 5.75 g/cm³.

Lattice parameters (Å, degrees): 7.1797 7.1797 7.1797 104.74 104.74 104.74
Closest atoms and distances in Å follow each position.
Fractional positions:
Ho  0.0000  0.0000  0.0000  6 Al 3.20
Al  0.1147  0.5000  0.8853  4 Pd 2.49-2.63, 3 Al 2.61-2.78
Al  0.1147  0.8853  0.5000  4 Pd 2.49-2.63, 3 Al 2.61-2.78
Al  0.1472  0.3981  0.3981  4 Pd 2.57-2.88, 4 Al 2.78-2.85
Al  0.3981  0.1472  0.3981  4 Pd 2.57-2.88, 4 Al 2.78-2.85
Al  0.3981  0.3981  0.1472  4 Pd 2.57-2.88, 4 Al 2.78-2.85
Al  0.5000  0.1147  0.8853  4 Pd 2.49-2.63, 3 Al 2.61-2.78
Al  0.5000  0.8853  0.1147  4 Pd 2.49-2.63, 3 Al 2.61-2.78
Al  0.6019  0.6019  0.8528  4 Pd 2.57-2.88, 4 Al 2.78-2.85
Al  0.6019  0.8528  0.6019  4 Pd 2.57-2.88, 4 Al 2.78-2.85
Al  0.8528  0.6019  0.6019  4 Pd 2.57-2.88, 4 Al 2.78-2.85
Al  0.8853  0.1147  0.5000  4 Pd 2.49-2.63, 3 Al 2.61-2.78
Al  0.8853  0.5000  0.1147  4 Pd 2.49-2.63, 3 Al 2.61-2.78
Pd  0.2798  0.2798  0.7083  7 Al 2.49-2.63
Pd  0.2798  0.7083  0.2798  7 Al 2.49-2.63
Pd  0.2917  0.7202  0.7202  7 Al 2.49-2.63
Pd  0.7083  0.2798  0.2798  7 Al 2.49-2.63
Pd  0.7202  0.2917  0.7202  7 Al 2.49-2.63
Pd  0.7202  0.7202  0.2917  7 Al 2.49-2.63

***

# 10
VASP calculation (PBE) on a relaxed structure of HoAlPd.

Its symmetry is I4mm, No. 107. For the energy, the calculation gives -5.1970 eV/atom. The calculation puts the formation energy at -0.6926 eV/atom. The density comes out at 8.44 g/cm³.

Lattice parameters (Å, degrees): 3.2895 3.2895 10.8547 90.00 90.00 90.00
Closest atoms and distances in Å follow each position.
Fractional positions:
Ho  0.0000  0.0000  0.0000  5 Pd 3.08-3.41, 5 Al 3.19-3.25, 4 Ho 3.29
Ho  0.5000  0.5000  0.5000  5 Pd 3.08-3.41, 5 Al 3.19-3.25, 4 Ho 3.29
Al  0.0000  0.0000  0.2995  4 Pd 2.64
Al  0.5000  0.5000  0.7995  4 Pd 2.64
Pd  0.0000  0.0000  0.6855  4 Al 2.64
Pd  0.5000  0.5000  0.1855  4 Al 2.64

***

# 11
VASP calculation (PBE) on a relaxed structure of HoAl2Pd8.

Its symmetry is C2/m, No. 12. For the energy, the calculation gives -5.5144 eV/atom. The calculation puts the formation energy at -0.6412 eV/atom. The density comes out at 9.73 g/cm³.

Lattice parameters (Å, degrees): 6.7716 6.7716 4.6431 100.89 100.89 113.83
Closest atoms and distances in Å follow each position.
Fractional positions:
Ho  0.0000  0.0000  0.0000  8 Pd 2.72-3.02
Al  0.3127  0.6873  0.5000  8 Pd 2.46-2.58
Al  0.6873  0.3127  0.5000  8 Pd 2.46-2.58
Pd  0.0804  0.3260  0.6042  2 Al 2.51-2.58, 2 Pd 2.79-2.80
Pd  0.2399  0.7601  0.0000  2 Al 2.46, 1 Ho 2.72
Pd  0.3260  0.0804  0.6042  2 Al 2.51-2.58, 2 Pd 2.79-2.80
Pd  0.4002  0.4002  0.1897  2 Al 2.53, 2 Pd 2.66-2.75, 1 Ho 2.78
Pd  0.5998  0.5998  0.8103  2 Al 2.53, 2 Pd 2.66-2.75, 1 Ho 2.78
Pd  0.6740  0.9196  0.3958  2 Al 2.51-2.58, 2 Pd 2.79-2.80
Pd  0.7601  0.2399  0.0000  2 Al 2.46, 1 Ho 2.72
Pd  0.9196  0.6740  0.3958  2 Al 2.51-2.58, 2 Pd 2.79-2.80

***

# 12
VASP calculation (PBE) on a relaxed structure of Ho2Al12Pd7.

Its symmetry is P-6, No. 174. For the energy, the calculation gives -5.0722 eV/atom. The calculation puts the formation energy at -0.7667 eV/atom. The density comes out at 6.55 g/cm³.

Lattice parameters (Å, degrees): 9.8793 9.8793 4.1964 90.00 90.00 120.00
Closest atoms and distances in Å follow each position.
Fractional positions:
Ho  0.0000  0.0000  0.0000  6 Pd 3.15, 12 Al 3.18-3.44
Ho  0.3333  0.6667  0.5000  9 Al 3.20-3.50, 6 Pd 3.42
Al  0.0170  0.7332  0.5000  4 Pd 2.50-2.73, 1 Al 2.76
Al  0.1536  0.3875  0.0000  4 Pd 2.55-2.61, 3 Al 2.79-2.80
Al  0.2339  0.8464  0.0000  4 Pd 2.55-2.61, 3 Al 2.79-2.80
Al  0.2668  0.2838  0.5000  4 Pd 2.50-2.73, 1 Al 2.76
Al  0.3713  0.1713  0.0000  4 Pd 2.53-2.61, 3 Al 2.79-2.80
Al  0.5408  0.1297  0.5000  5 Pd 2.57-2.74, 3 Al 2.76-2.84
Al  0.5888  0.4592  0.5000  5 Pd 2.57-2.74, 3 Al 2.76-2.84
Al  0.6125  0.7661  0.0000  4 Pd 2.55-2.61, 3 Al 2.79-2.80
Al  0.7162  0.9830  0.5000  4 Pd 2.50-2.73, 1 Al 2.76
Al  0.8000  0.6287  0.0000  4 Pd 2.53-2.61, 3 Al 2.79-2.80
Al  0.8287  0.2000  0.0000  4 Pd 2.53-2.61, 3 Al 2.79-2.80
Al  0.8703  0.4112  0.5000  5 Pd 2.57-2.74, 3 Al 2.76-2.84
Pd  0.0219  0.5584  0.0000  7 Al 2.55-2.73
Pd  0.2414  0.0072  0.5000  7 Al 2.50-2.62
Pd  0.4416  0.4635  0.0000  7 Al 2.55-2.73
Pd  0.5365  0.9781  0.0000  7 Al 2.55-2.73
Pd  0.6667  0.3333  0.0000  9 Al 2.53-2.74
Pd  0.7658  0.7586  0.5000  7 Al 2.50-2.62
Pd  0.9928  0.2342  0.5000  7 Al 2.50-2.62